The following is a PBE calculation of a relaxed CeTmAs2O8 crystal, from Alexandria.

Summary:
The calculation puts the total moment at 1.01 μB/f.u. The density of states at the Fermi level comes out at 4.59 states/eV/cell. As for the calculated density: 6520 kg/m3. The calculation puts the raw total energy at -86.922 eV per cell.

a b c (Å): 5.1054 5.1054 6.7764
angles (deg): 112.13 112.13 90.00
Last column: magnetic moment on the atom in μB.
Sites, in units of the cell vectors:
Ce1 0.7500 0.2500 0.5000  0.90
Tm1 0.0000 0.0000 0.0000  0.01
As1 0.5000 0.5000 0.0000  0.01
As2 0.2500 0.7500 0.5000  0.01
O1 0.7301 0.8271 0.1515  0.00
O2 0.4214 0.3244 0.1515  0.00
O3 0.5827 0.6933 0.6622  0.00
O4 0.0795 0.9688 0.6622  0.00
O5 0.0312 0.4173 0.3378  0.00
O6 0.3067 0.9205 0.3378  0.00
O7 0.1729 0.5786 0.8485  0.00
O8 0.6756 0.2699 0.8485  0.00

***

The following is a PBE calculation of a relaxed CeTmAsO2 crystal, from Alexandria.

Summary:
The calculation puts the total moment at 0.19 μB/f.u. The density of states at the Fermi level comes out at 3.91 states/eV/cell. As for the calculated density: 7929 kg/m3. The calculation puts the raw total energy at -75.621 eV per cell.

a b c (Å): 3.7242 6.2896 7.7873
angles (deg): 90.00 90.00 107.22
Last column: magnetic moment on the atom in μB.
Sites, in units of the cell vectors:
Ce1 0.7225 0.4450 0.7500  0.23
Ce2 0.2775 0.5550 0.2500  0.23
Tm1 0.0000 0.0000 0.0000  -0.01
Tm2 0.0000 0.0000 0.5000  -0.01
As1 0.4415 0.8829 0.7500  -0.01
As2 0.5585 0.1171 0.2500  -0.01
O1 0.1746 0.3492 0.9189  -0.01
O2 0.8254 0.6508 0.0811  -0.01
O3 0.1746 0.3492 0.5811  -0.01
O4 0.8254 0.6508 0.4189  -0.01